Below is a geometry-optimized TmScOsPb structure, with properties calculated at the PBE level.

```
data_TmScOsPb
_symmetry_space_group_name_H-M 'P 4 m m'
_symmetry_Int_Tables_number 99
_cell_length_a 3.307
_cell_length_b 3.307
_cell_length_c 8.113
_cell_angle_alpha 90.00
_cell_angle_beta 90.00
_cell_angle_gamma 90.00
loop_
_symmetry_equiv_pos_as_xyz
'x,y,z'
'-y,x,z'
'-x,-y,z'
'y,-x,z'
'-x,y,z'
'y,x,z'
'x,-y,z'
'-y,-x,z'
loop_
_atom_site_label
_atom_site_type_symbol
_atom_site_fract_x
_atom_site_fract_y
_atom_site_fract_z
_atom_site_occupancy
Tm1 Tm 0.000 0.000 0.000 1
Sc1 Sc 0.000 0.000 0.605 1
Os1 Os 0.500 0.500 0.789 1
Pb1 Pb 0.500 0.500 0.316 1
```

## Properties
volume = 22.18 A^3/atom
DFT formation energy = -0.44 eV/atom
uncorrected energy = -6.872 eV per atom

***

Below is a geometry-optimized Os2PbSe structure, with properties calculated at the PBE level.

```
data_Os2PbSe
_symmetry_space_group_name_H-M 'P 1 m 1'
_symmetry_Int_Tables_number 6
_cell_length_a 2.900
_cell_length_b 3.420
_cell_length_c 8.521
_cell_angle_alpha 90.00
_cell_angle_beta 99.44
_cell_angle_gamma 90.00
loop_
_symmetry_equiv_pos_as_xyz
'x,y,z'
'x,-y,z'
loop_
_atom_site_label
_atom_site_type_symbol
_atom_site_fract_x
_atom_site_fract_y
_atom_site_fract_z
_atom_site_occupancy
Os1 Os 0.000 0.000 0.000 1
Os2 Os 0.428 0.500 0.850 1
Pb1 Pb 0.629 0.500 0.264 1
Se1 Se 0.314 0.000 0.621 1
```

## Properties
volume = 20.84 A^3/atom
E above lowest polymorph = 0.000 eV/atom
uncorrected energy = -6.986 eV per atom

***

Below is a geometry-optimized Os2PbSe structure, with properties calculated at the PBE level.

```
data_Os2PbSe
_symmetry_space_group_name_H-M 'C m m 2'
_symmetry_Int_Tables_number 35
_cell_length_a 2.962
_cell_length_b 5.133
_cell_length_c 10.404
_cell_angle_alpha 90.00
_cell_angle_beta 90.00
_cell_angle_gamma 90.00
loop_
_symmetry_equiv_pos_as_xyz
'x,y,z'
'-x,-y,z'
'-x,y,z'
'x,-y,z'
'x+1/2,y+1/2,z'
'-x+1/2,-y+1/2,z'
'-x+1/2,y+1/2,z'
'x+1/2,-y+1/2,z'
loop_
_atom_site_label
_atom_site_type_symbol
_atom_site_fract_x
_atom_site_fract_y
_atom_site_fract_z
_atom_site_occupancy
Os1 Os 0.000 0.000 0.000 1
Os2 Os 0.000 0.500 0.204 1
Pb1 Pb 0.000 0.000 0.454 1
Se1 Se 0.000 0.500 0.798 1
```

## Properties
volume = 19.77 A^3/atom
E above lowest polymorph = 0.437 eV/atom
uncorrected energy = -6.549 eV per atom

***

Below is a geometry-optimized Os2PbSe structure, with properties calculated at the PBE level.

```
data_Os2PbSe
_symmetry_space_group_name_H-M 'F -4 3 m'
_symmetry_Int_Tables_number 216
_symmetry_space_group_name_Hall 'F -4 2 3'
_cell_length_a 6.620
_cell_length_b 6.620
_cell_length_c 6.620
_cell_angle_alpha 90.00
_cell_angle_beta 90.00
_cell_angle_gamma 90.00
loop_
_atom_site_label
_atom_site_type_symbol
_atom_site_fract_x
_atom_site_fract_y
_atom_site_fract_z
_atom_site_occupancy
Os1 Os 0.000 0.000 0.000 1
Os2 Os 0.250 0.250 0.250 1
Pb1 Pb 0.000 0.000 0.500 1
Se1 Se 0.250 0.250 0.750 1
```

## Properties
volume = 18.14 A^3/atom
E above lowest polymorph = 0.848 eV/atom
uncorrected energy = -6.137 eV per atom

***

Below is a geometry-optimized Os2PbSe structure, with properties calculated at the PBE level.

```
data_Os2PbSe
_symmetry_space_group_name_H-M 'I m m 2'
_symmetry_Int_Tables_number 44
_cell_length_a 2.966
_cell_length_b 3.045
_cell_length_c 18.555
_cell_angle_alpha 90.00
_cell_angle_beta 90.00
_cell_angle_gamma 90.00
loop_
_symmetry_equiv_pos_as_xyz
'x,y,z'
'-x,-y,z'
'-x,y,z'
'x,-y,z'
'x+1/2,y+1/2,z+1/2'
'-x+1/2,-y+1/2,z+1/2'
'-x+1/2,y+1/2,z+1/2'
'x+1/2,-y+1/2,z+1/2'
loop_
_atom_site_label
_atom_site_type_symbol
_atom_site_fract_x
_atom_site_fract_y
_atom_site_fract_z
_atom_site_occupancy
Os1 Os 0.000 0.000 0.000 1
Os2 Os 0.000 0.500 0.386 1
Pb1 Pb 0.000 0.500 0.772 1
Se1 Se 0.000 0.000 0.577 1
```

## Properties
volume = 20.95 A^3/atom
E above lowest polymorph = 0.297 eV/atom
uncorrected energy = -6.689 eV per atom

***

Below is a geometry-optimized OsPbSe structure, with properties calculated at the PBE level.

```
data_OsPbSe
_symmetry_space_group_name_H-M 'F -4 3 m'
_symmetry_Int_Tables_number 216
_symmetry_space_group_name_Hall 'F -4 2 3'
_cell_length_a 6.407
_cell_length_b 6.407
_cell_length_c 6.407
_cell_angle_alpha 90.00
_cell_angle_beta 90.00
_cell_angle_gamma 90.00
loop_
_atom_site_label
_atom_site_type_symbol
_atom_site_fract_x
_atom_site_fract_y
_atom_site_fract_z
_atom_site_occupancy
Os1 Os 0.000 0.000 0.000 1
Pb1 Pb 0.250 0.250 0.250 1
Se1 Se 0.250 0.250 0.750 1
```

## Properties
volume = 21.92 A^3/atom
E above lowest polymorph = 0.280 eV/atom
uncorrected energy = -5.525 eV per atom

***

Below is a geometry-optimized Os2PbSe structure, with properties calculated at the PBE level.

```
data_Os2PbSe
_symmetry_space_group_name_H-M 'P 4/m m m'
_symmetry_Int_Tables_number 123
_symmetry_space_group_name_Hall '-P 4 2'
_cell_length_a 3.208
_cell_length_b 3.208
_cell_length_c 6.706
_cell_angle_alpha 90.00
_cell_angle_beta 90.00
_cell_angle_gamma 90.00
loop_
_atom_site_label
_atom_site_type_symbol
_atom_site_fract_x
_atom_site_fract_y
_atom_site_fract_z
_atom_site_occupancy
Os1 Os 0.000 0.000 0.218 1
Pb1 Pb 0.500 0.500 0.500 1
Se1 Se 0.500 0.500 0.000 1
```

## Properties
volume = 17.25 A^3/atom
E above lowest polymorph = 0.535 eV/atom
uncorrected energy = -6.451 eV per atom

***

Below is a geometry-optimized Os2PbSe structure, with properties calculated at the PBE level.

```
data_Os2PbSe
_symmetry_space_group_name_H-M 'I -4 m 2'
_symmetry_Int_Tables_number 119
_symmetry_space_group_name_Hall 'I -4 -2'
_cell_length_a 4.223
_cell_length_b 4.223
_cell_length_c 7.965
_cell_angle_alpha 90.00
_cell_angle_beta 90.00
_cell_angle_gamma 90.00
loop_
_atom_site_label
_atom_site_type_symbol
_atom_site_fract_x
_atom_site_fract_y
_atom_site_fract_z
_atom_site_occupancy
Os1 Os 0.000 0.000 0.000 1
Os2 Os 0.000 0.500 0.250 1
Pb1 Pb 0.000 0.500 0.750 1
Se1 Se 0.000 0.000 0.500 1
```

## Properties
volume = 17.76 A^3/atom
E above lowest polymorph = 0.743 eV/atom
uncorrected energy = -6.243 eV per atom

***

Below is a geometry-optimized Os2PbSe structure, with properties calculated at the PBE level.

```
data_Os2PbSe
_symmetry_space_group_name_H-M 'P 4/m m m'
_symmetry_Int_Tables_number 123
_symmetry_space_group_name_Hall '-P 4 2'
_cell_length_a 4.611
_cell_length_b 4.611
_cell_length_c 3.253
_cell_angle_alpha 90.00
_cell_angle_beta 90.00
_cell_angle_gamma 90.00
loop_
_atom_site_label
_atom_site_type_symbol
_atom_site_fract_x
_atom_site_fract_y
_atom_site_fract_z
_atom_site_occupancy
Os1 Os 0.000 0.500 0.000 1
Pb1 Pb 0.000 0.000 0.500 1
Se1 Se 0.500 0.500 0.500 1
```

## Properties
volume = 17.29 A^3/atom
E above lowest polymorph = 0.629 eV/atom
uncorrected energy = -6.357 eV per atom

***

Below is a geometry-optimized Os2PbSe structure, with properties calculated at the PBE level.

```
data_Os2PbSe
_symmetry_space_group_name_H-M 'R 3 m'
_symmetry_Int_Tables_number 160
_symmetry_space_group_name_Hall 'R 3 -2"'
_cell_length_a 2.9920
_cell_length_b 2.9920
_cell_length_c 30.1649
_cell_angle_alpha 90.00
_cell_angle_beta 90.00
_cell_angle_gamma 120.00
loop_
_atom_site_label
_atom_site_type_symbol
_atom_site_fract_x
_atom_site_fract_y
_atom_site_fract_z
_atom_site_occupancy
Os1 Os 0.0000 0.0000 0.0000 1
Os2 Os 0.0000 0.0000 0.2667 1
Pb1 Pb 0.0000 0.0000 0.7510 1
Se1 Se 0.0000 0.0000 0.5354 1
```

## Properties
volume = 19.49 A^3/atom
E above lowest polymorph = 0.156 eV/atom
uncorrected energy = -6.830 eV per atom

***

Below is a geometry-optimized OsPbSe structure, with properties calculated at the PBE level.

```
data_OsPbSe
_symmetry_space_group_name_H-M 'P 3 m 1'
_symmetry_Int_Tables_number 156
_cell_length_a 3.3475
_cell_length_b 3.3475
_cell_length_c 7.4790
_cell_angle_alpha 90.00
_cell_angle_beta 90.00
_cell_angle_gamma 120.00
loop_
_symmetry_equiv_pos_as_xyz
'x,y,z'
'-y,x-y,z'
'-x+y,-x,z'
'-y,-x,z'
'-x+y,y,z'
'x,x-y,z'
loop_
_atom_site_label
_atom_site_type_symbol
_atom_site_fract_x
_atom_site_fract_y
_atom_site_fract_z
_atom_site_occupancy
Os1 Os 0.0000 0.0000 0.0000 1
Pb1 Pb 0.6667 0.3333 0.3117 1
Se1 Se 0.3333 0.6667 0.8044 1
```

## Properties
volume = 24.19 A^3/atom
E above lowest polymorph = 0.000 eV/atom
uncorrected energy = -5.805 eV per atom

***

Below is a geometry-optimized Os2PbSe structure, with properties calculated at the PBE level.

```
data_Os2PbSe
_symmetry_space_group_name_H-M 'P 4 m m'
_symmetry_Int_Tables_number 99
_cell_length_a 2.975
_cell_length_b 2.975
_cell_length_c 8.978
_cell_angle_alpha 90.00
_cell_angle_beta 90.00
_cell_angle_gamma 90.00
loop_
_symmetry_equiv_pos_as_xyz
'x,y,z'
'-y,x,z'
'-x,-y,z'
'y,-x,z'
'-x,y,z'
'y,x,z'
'x,-y,z'
'-y,-x,z'
loop_
_atom_site_label
_atom_site_type_symbol
_atom_site_fract_x
_atom_site_fract_y
_atom_site_fract_z
_atom_site_occupancy
Os1 Os 0.000 0.000 0.000 1
Os2 Os 0.500 0.500 0.183 1
Pb1 Pb 0.000 0.000 0.435 1
Se1 Se 0.500 0.500 0.814 1
```

## Properties
volume = 19.86 A^3/atom
E above lowest polymorph = 0.032 eV/atom
uncorrected energy = -6.953 eV per atom

***

Below is a geometry-optimized Os3PbSe structure, with properties calculated at the PBE level.

```
data_Os3PbSe
_symmetry_space_group_name_H-M 'P m -3 m'
_symmetry_Int_Tables_number 221
_symmetry_space_group_name_Hall '-P 4 2 3'
_cell_length_a 5.027
_cell_length_b 5.027
_cell_length_c 5.027
_cell_angle_alpha 90.00
_cell_angle_beta 90.00
_cell_angle_gamma 90.00
loop_
_atom_site_label
_atom_site_type_symbol
_atom_site_fract_x
_atom_site_fract_y
_atom_site_fract_z
_atom_site_occupancy
Os1 Os 0.000 0.000 0.500 1
Pb1 Pb 0.000 0.000 0.000 1
Se1 Se 0.500 0.500 0.500 1
```

## Properties
volume = 25.41 A^3/atom
E above lowest polymorph = 1.525 eV/atom
uncorrected energy = -4.970 eV per atom

***

Below is a geometry-optimized OsPb3Se structure, with properties calculated at the PBE level.

```
data_OsPb3Se
_symmetry_space_group_name_H-M 'P m -3 m'
_symmetry_Int_Tables_number 221
_symmetry_space_group_name_Hall '-P 4 2 3'
_cell_length_a 5.263
_cell_length_b 5.263
_cell_length_c 5.263
_cell_angle_alpha 90.00
_cell_angle_beta 90.00
_cell_angle_gamma 90.00
loop_
_atom_site_label
_atom_site_type_symbol
_atom_site_fract_x
_atom_site_fract_y
_atom_site_fract_z
_atom_site_occupancy
Os1 Os 0.000 0.000 0.000 1
Pb1 Pb 0.000 0.000 0.500 1
Se1 Se 0.500 0.500 0.500 1
```

## Properties
volume = 29.16 A^3/atom
E above lowest polymorph = 0.000 eV/atom
uncorrected energy = -4.973 eV per atom

***

Below is a geometry-optimized OsPb3Se structure, with properties calculated at the PBE level.

```
data_OsPb3Se
_symmetry_space_group_name_H-M 'P m -3 m'
_symmetry_Int_Tables_number 221
_symmetry_space_group_name_Hall '-P 4 2 3'
_cell_length_a 5.569
_cell_length_b 5.569
_cell_length_c 5.569
_cell_angle_alpha 90.00
_cell_angle_beta 90.00
_cell_angle_gamma 90.00
loop_
_atom_site_label
_atom_site_type_symbol
_atom_site_fract_x
_atom_site_fract_y
_atom_site_fract_z
_atom_site_occupancy
Os1 Os 0.000 0.000 0.000 1
Pb1 Pb 0.000 0.500 0.500 1
Se1 Se 0.500 0.500 0.500 1
```

## Properties
volume = 34.55 A^3/atom
E above lowest polymorph = 1.192 eV/atom
uncorrected energy = -3.781 eV per atom